# MgBe4Ir

A relaxed MgBe4Ir crystal (PBE-GGA, Alexandria via LeMat-Bulk).

Unit cell a=4.421 b=4.421 c=4.421 alpha=60.00 beta=60.00 gamma=60.00
Atoms (fractional coordinates):
Be1 0.624 0.129 0.624
Be2 0.129 0.624 0.624
Be3 0.624 0.624 0.624
Be4 0.624 0.624 0.129
Ir1 0.250 0.250 0.250
Mg1 0.000 0.000 0.000

## Properties
Energy relative to the elements, eV per atom: -0.364

# ScNi5Sb

A relaxed ScNi5Sb crystal (PBE-GGA, Alexandria via LeMat-Bulk).

Unit cell a=4.831 b=7.875 c=10.075 alpha=90.00 beta=90.00 gamma=90.00
Atoms (fractional coordinates):
Sc1 0.250 0.259 0.942
Sc2 0.750 0.241 0.442
Sc3 0.250 0.759 0.558
Sc4 0.750 0.741 0.058
Ni1 0.250 0.590 0.019
Ni2 0.750 0.910 0.519
Ni3 0.250 0.090 0.481
Ni4 0.750 0.410 0.981
Ni5 0.750 0.313 0.752
Ni6 0.250 0.187 0.252
Ni7 0.750 0.813 0.748
Ni8 0.250 0.687 0.248
Ni9 0.250 0.944 0.092
Ni10 0.750 0.556 0.592
Ni11 0.250 0.444 0.408
Ni12 0.750 0.056 0.908
Ni13 0.998 0.434 0.191
Ni14 0.002 0.066 0.691
Ni15 0.502 0.934 0.309
Ni16 0.498 0.566 0.809
Ni17 0.002 0.566 0.809
Ni18 0.998 0.934 0.309
Ni19 0.498 0.066 0.691
Ni20 0.502 0.434 0.191
Sb1 0.250 0.859 0.857
Sb2 0.750 0.641 0.357
Sb3 0.250 0.359 0.643
Sb4 0.750 0.141 0.143

## Properties
Formation energy from raw total energies, eV/f.u.: -2.33

# Sr2ErZnSe5

A relaxed Sr2ErZnSe5 crystal (PBE-GGA, Alexandria via LeMat-Bulk).

Unit cell a=4.137 b=9.465 c=12.714 alpha=90.00 beta=90.00 gamma=102.62
Atoms (fractional coordinates):
Sr1 0.876 0.753 0.825
Sr2 0.117 0.233 0.688
Sr3 0.124 0.247 0.325
Sr4 0.883 0.767 0.188
Er1 0.795 0.590 0.520
Er2 0.205 0.410 0.020
Zn1 0.560 0.119 0.936
Zn2 0.440 0.881 0.436
Se1 0.355 0.710 0.009
Se2 0.691 0.381 0.865
Se3 0.498 0.996 0.768
Se4 0.296 0.592 0.672
Se5 0.953 0.905 0.541
Se6 0.645 0.290 0.509
Se7 0.309 0.619 0.365
Se8 0.502 0.004 0.268
Se9 0.704 0.408 0.172
Se10 0.047 0.095 0.041

## Properties
Formation energy from raw total energies, eV/f.u.: -13.68

# PuU2Tl2Se6

A relaxed PuU2Tl2Se6 crystal (PBE-GGA, Alexandria via LeMat-Bulk).

Unit cell a=7.235 b=7.235 c=8.159 alpha=98.28 beta=98.28 gamma=120.05
Each line ends with the local moment (μB).
Atoms (fractional coordinates):
Pu1 0.000 0.000 0.500  5.25
U1 0.334 0.666 0.500  2.34
U2 0.666 0.334 0.500  2.34
Tl1 0.836 0.164 0.000  0.00
Tl2 0.164 0.836 0.000  0.00
Se1 0.725 0.725 0.702  -0.08
Se2 0.065 0.406 0.702  -0.07
Se3 0.275 0.275 0.298  -0.08
Se4 0.406 0.065 0.702  -0.07
Se5 0.935 0.594 0.298  -0.07
Se6 0.594 0.935 0.298  -0.07

## Properties
Formation energy from raw total energies, eV/f.u.: -11.67

# Tm2CoH

A relaxed Tm2CoH crystal (PBE-GGA, Alexandria via LeMat-Bulk).

Unit cell a=3.148 b=3.148 c=6.808 alpha=90.00 beta=90.00 gamma=90.00
Each line ends with the local moment (μB).
Atoms (fractional coordinates):
H1 0.500 0.500 0.000  0.00
Tm1 0.000 0.000 0.746  -0.06
Tm2 0.000 0.000 0.254  -0.06
Co1 0.500 0.500 0.500  0.56

## Properties
Electronic total energy, eV/atom: -4.900

# CsSnN2F

A relaxed CsSnN2F crystal (PBE-GGA, Alexandria via LeMat-Bulk).

Unit cell a=4.425 b=4.425 c=5.053 alpha=90.00 beta=90.00 gamma=90.00
Atoms (fractional coordinates):
Cs1 0.000 0.000 0.000
N1 0.000 0.500 0.000
N2 0.500 0.000 0.000
Sn1 0.500 0.500 0.500
F1 0.000 0.000 0.500

## Properties
Formation energy from raw total energies, eV/f.u.: 7.00

# Nd4Cu2Pd

A relaxed Nd4Cu2Pd crystal (PBE-GGA, Alexandria via LeMat-Bulk).

Unit cell a=5.053 b=5.053 c=8.803 alpha=73.32 beta=73.32 gamma=60.00
Atoms (fractional coordinates):
Nd1 0.874 0.874 0.378
Nd2 0.126 0.126 0.622
Nd3 0.624 0.624 0.128
Nd4 0.376 0.376 0.872
Pd1 0.000 0.000 0.000
Cu1 0.754 0.754 0.739
Cu2 0.246 0.246 0.261

## Properties
Energy relative to the elements, eV per atom: -0.202

# TcBr2

A relaxed TcBr2 crystal (PBE-GGA, Alexandria via LeMat-Bulk).

Unit cell a=8.733 b=8.733 c=7.926 alpha=52.82 beta=52.82 gamma=24.10
Atoms (fractional coordinates):
Br1 0.909 0.909 0.255
Br2 0.665 0.665 0.641
Br3 0.702 0.702 0.022
Br4 0.946 0.946 0.636
Tc1 0.294 0.294 0.519
Tc2 0.317 0.317 0.759

## Properties
Formation energy from raw total energies, eV/f.u.: -0.92

# CdPd3Cl

A relaxed CdPd3Cl crystal (PBE-GGA, Alexandria via LeMat-Bulk).

Unit cell a=4.610 b=4.610 c=4.610 alpha=90.00 beta=90.00 gamma=90.00
Atoms (fractional coordinates):
Cl1 0.000 0.000 0.000
Pd1 0.000 0.500 0.000
Pd2 0.000 0.000 0.500
Pd3 0.500 0.000 0.000
Cd1 0.500 0.500 0.500

## Properties
Formation energy from raw total energies, eV/f.u.: 1.43

# Ca2DyTlO

A relaxed Ca2DyTlO crystal (PBE-GGA, Alexandria via LeMat-Bulk).

Unit cell a=4.858 b=4.827 c=4.827 alpha=90.00 beta=90.00 gamma=90.00
Atoms (fractional coordinates):
Ca1 0.000 0.000 0.500
Ca2 0.000 0.500 0.000
Dy1 0.500 0.000 0.000
Tl1 0.500 0.500 0.500
O1 0.000 0.000 0.000

## Properties
Formation energy from raw total energies, eV/f.u.: -6.95

# CuSi

A relaxed CuSi crystal (PBE-GGA, Alexandria via LeMat-Bulk).

Unit cell a=7.746 b=10.026 c=6.562 alpha=90.00 beta=90.00 gamma=90.00
Atoms (fractional coordinates):
Cu1 0.000 0.000 0.185
Cu2 0.000 0.000 0.815
Cu3 0.250 0.750 0.065
Cu4 0.250 0.750 0.435
Cu5 0.000 0.500 0.685
Cu6 0.000 0.500 0.315
Cu7 0.250 0.250 0.565
Cu8 0.250 0.250 0.935
Cu9 0.500 0.000 0.685
Cu10 0.500 0.000 0.315
Cu11 0.750 0.750 0.565
Cu12 0.750 0.750 0.935
Cu13 0.500 0.500 0.185
Cu14 0.500 0.500 0.815
Cu15 0.750 0.250 0.065
Cu16 0.750 0.250 0.435
Si1 0.000 0.375 0.000
Si2 0.000 0.625 0.000
Si3 0.250 0.375 0.250
Si4 0.250 0.125 0.250
Si5 0.000 0.875 0.500
Si6 0.000 0.125 0.500
Si7 0.250 0.875 0.750
Si8 0.250 0.625 0.750
Si9 0.500 0.375 0.500
Si10 0.500 0.625 0.500
Si11 0.750 0.375 0.750
Si12 0.750 0.125 0.750
Si13 0.500 0.875 0.000
Si14 0.500 0.125 0.000
Si15 0.750 0.875 0.250
Si16 0.750 0.625 0.250

## Properties
Formation energy from raw total energies, eV/f.u.: 0.55

# NdThS4

A relaxed NdThS4 crystal (PBE-GGA, Alexandria via LeMat-Bulk).

Unit cell a=6.944 b=6.886 c=6.773 alpha=90.00 beta=92.10 gamma=90.00
Each line ends with the local moment (μB).
Atoms (fractional coordinates):
Nd1 0.500 0.000 0.500  0.02
Nd2 0.000 0.500 0.500  0.02
Th1 0.000 0.000 0.000  0.02
Th2 0.500 0.500 0.000  0.02
S1 0.844 0.651 0.137  0.03
S2 0.656 0.151 0.863  0.03
S3 0.382 0.378 0.378  0.26
S4 0.118 0.878 0.622  0.26
S5 0.156 0.349 0.863  0.03
S6 0.344 0.849 0.137  0.03
S7 0.618 0.622 0.622  0.26
S8 0.882 0.122 0.378  0.26

## Properties
Formation energy from raw total energies, eV/f.u.: -9.35

# Hf3Ni2Os

A relaxed Hf3Ni2Os crystal (PBE-GGA, Alexandria via LeMat-Bulk).

Unit cell a=3.184 b=4.555 c=7.229 alpha=108.36 beta=90.00 gamma=90.00
Atoms (fractional coordinates):
Hf1 0.500 0.500 0.000
Hf2 0.500 0.831 0.662
Hf3 0.500 0.169 0.338
Ni1 0.000 0.341 0.682
Ni2 0.000 0.659 0.318
Os1 0.000 0.000 0.000

## Properties
Energy relative to the elements, eV per atom: -0.518

# CrCoRe3

A relaxed CrCoRe3 crystal (PBE-GGA, Alexandria via LeMat-Bulk).

Unit cell a=4.352 b=4.352 c=4.352 alpha=90.00 beta=90.00 gamma=90.00
Atoms (fractional coordinates):
Re1 0.000 0.500 0.000
Re2 0.000 0.000 0.500
Re3 0.500 0.000 0.000
Co1 0.000 0.000 0.000
Cr1 0.500 0.500 0.500

## Properties
Energy relative to the elements, eV per atom: 1.803

# Y3ZnIn

A relaxed Y3ZnIn crystal (PBE-GGA, Alexandria via LeMat-Bulk).

Unit cell a=5.377 b=5.377 c=5.377 alpha=90.00 beta=90.00 gamma=90.00
Atoms (fractional coordinates):
Y1 0.000 0.500 0.000
Y2 0.000 0.000 0.500
Y3 0.500 0.000 0.000
Zn1 0.000 0.000 0.000
In1 0.500 0.500 0.500

## Properties
Energy relative to the elements, eV per atom: 0.034

# Tb2TmRu

A relaxed Tb2TmRu crystal (PBE-GGA, Alexandria via LeMat-Bulk).

Unit cell a=3.495 b=3.495 c=10.776 alpha=80.67 beta=80.67 gamma=60.00
Atoms (fractional coordinates):
Ru1 0.500 0.500 0.500
Tm1 0.000 0.000 0.000
Tb1 0.106 0.106 0.681
Tb2 0.894 0.894 0.319

## Properties
Energy relative to the elements, eV per atom: 0.127

# TaB2W

A relaxed TaB2W crystal (PBE-GGA, Alexandria via LeMat-Bulk).

Unit cell a=3.134 b=4.618 c=6.058 alpha=90.00 beta=90.00 gamma=90.00
Atoms (fractional coordinates):
Ta1 0.500 0.371 0.325
Ta2 0.500 0.629 0.825
B1 0.000 0.654 0.533
B2 0.000 0.346 0.033
B3 0.500 0.856 0.466
B4 0.500 0.144 0.966
W1 0.000 0.133 0.676
W2 0.000 0.867 0.176

## Properties
Energy relative to the elements, eV per atom: -0.595

# Th2Al2GeRu5

A relaxed Th2Al2GeRu5 crystal (PBE-GGA, Alexandria via LeMat-Bulk).

Unit cell a=3.349 b=10.187 c=10.187 alpha=90.00 beta=90.00 gamma=90.00
Atoms (fractional coordinates):
Th1 0.000 0.675 0.175
Th2 0.000 0.325 0.825
Th3 0.000 0.175 0.325
Th4 0.000 0.825 0.675
Al1 0.000 0.125 0.625
Al2 0.000 0.875 0.375
Al3 0.000 0.625 0.875
Al4 0.000 0.375 0.125
Ge1 0.000 0.000 0.000
Ge2 0.000 0.500 0.500
Ru1 0.500 0.202 0.064
Ru2 0.500 0.798 0.936
Ru3 0.500 0.064 0.798
Ru4 0.500 0.702 0.436
Ru5 0.500 0.936 0.202
Ru6 0.500 0.298 0.564
Ru7 0.500 0.564 0.702
Ru8 0.500 0.436 0.298
Ru9 0.500 0.500 0.000
Ru10 0.500 0.000 0.500

## Properties
Energy relative to the elements, eV per atom: -0.429

# PuZnSiNi

A relaxed PuZnSiNi crystal (PBE-GGA, Alexandria via LeMat-Bulk).

Unit cell a=3.994 b=3.994 c=5.618 alpha=69.18 beta=69.18 gamma=60.00
Each line ends with the local moment (μB).
Atoms (fractional coordinates):
Pu1 0.812 0.812 0.565  5.20
Zn1 0.018 0.018 0.947  0.03
Si1 0.602 0.602 0.194  -0.04
Ni1 0.294 0.294 0.117  -0.05

## Properties
Formation energy from raw total energies, eV/f.u.: -1.26

# MnInPCl2

A relaxed MnInPCl2 crystal (PBE-GGA, Alexandria via LeMat-Bulk).

Unit cell a=4.950 b=4.950 c=4.742 alpha=90.00 beta=90.00 gamma=90.00
Each line ends with the local moment (μB).
Atoms (fractional coordinates):
Cl1 0.000 0.500 0.000  0.00
Cl2 0.500 0.000 0.000  0.00
Mn1 0.000 0.000 0.000  -3.71
P1 0.000 0.000 0.500  0.43
In1 0.500 0.500 0.500  0.04

## Properties
Formation energy from raw total energies, eV/f.u.: -1.35